(1)
Er2TmSb2Te2 | PBE-GGA | relaxed

a = 8.5213 Å, b = 8.5213 Å, c = 8.5213 Å
α = 141.09°, β = 141.09°, γ = 56.20°
Last column: nearest neighbours and their distance in Å.
Fractional coordinates of all 7 atoms:
1 Er 0.1111 0.1111 0.0000  1 Te 2.86
2 Er 0.8889 0.8889 0.0000  1 Te 2.86
3 Tm 0.5000 0.5000 0.0000  4 Sb 2.84, 2 Te 2.99
4 Sb 0.0000 0.5000 0.5000  2 Tm 2.84
5 Sb 0.5000 0.0000 0.5000  2 Tm 2.84
6 Te 0.3012 0.3012 0.0000  1 Er 2.86, 1 Tm 2.99
7 Te 0.6988 0.6988 0.0000  1 Er 2.86, 1 Tm 2.99

Summary:
Space group ... No. 139
DOS(E_F) ... 0.69 states/eV/atom
Electronic total energy ... -4.643 eV/atom



(2)
ErThSb2 | PBE-GGA | relaxed

a = 7.9742 Å, b = 7.9742 Å, c = 7.9742 Å
α = 31.86°, β = 31.86°, γ = 31.86°
Last column: nearest neighbours and their distance in Å.
Fractional coordinates of all 4 atoms:
1 Er 0.0000 0.0000 0.0000  6 Sb 3.08-3.17
2 Th 0.8272 0.8272 0.8272  6 Sb 3.15-3.22
3 Sb 0.2487 0.2487 0.2487  3 Er 3.17, 3 Th 3.22
4 Sb 0.4108 0.4108 0.4108  3 Er 3.08, 3 Th 3.15

Summary:
Space group ... No. 160
DOS(E_F) ... 0.79 states/eV/atom
Offset from the most stable computed form ... 42.1 kJ/mol of formula units